No. 1
# Sc5Cu4Ni

Crystalline Sc5Cu4Ni at its relaxed geometry (PBE, the Alexandria database).

Results
E: -5.71 eV per atom
Energy relative to the elements: -3.3 eV/f.u.
Total magnetic moment: 0.0000 μB per atom

abc: 3.2328 3.2328 16.2805
angles: 90.00 90.00 90.00
With the nearest neighbours (Å) after each atom.
Space group P4/mmm (No. 123)
Unique sites:
Sc  0.0000  0.0000  0.0000 [1 per cell]  8 Cu 2.81
Sc  0.0000  0.0000  0.2025 [2 per cell]  8 Cu 2.81-2.83
Sc  0.0000  0.0000  0.4049 [2 per cell]  4 Ni 2.76, 4 Cu 2.82
Cu  0.5000  0.5000  0.1006 [2 per cell]  8 Sc 2.81-2.83
Cu  0.5000  0.5000  0.3032 [2 per cell]  8 Sc 2.81-2.82
Ni  0.5000  0.5000  0.5000 [1 per cell]  8 Sc 2.76


No. 2
# Ge2BOsC

Crystalline Ge2BOsC at its relaxed geometry (PBE, the Alexandria database).

Results
E: -5.67 eV per atom
Energy relative to the elements: 8.0 eV/f.u.
Total magnetic moment: 0.0000 μB per atom

abc: 4.4414 4.4414 3.8732
angles: 90.00 90.00 90.00
With the nearest neighbours (Å) after each atom.
Space group P4/mmm (No. 123)
Unique sites:
Ge  0.0000  0.5000  0.0000 [2 per cell]  2 C 2.22
B  0.0000  0.0000  0.5000 [1 per cell]  8 Ge 2.95, 4 Os 3.14
Os  0.5000  0.5000  0.5000 [1 per cell]  2 C 1.94
C  0.5000  0.5000  0.0000 [1 per cell]  2 Os 1.94


No. 3
# Cs3PaPb2Se6

Crystalline Cs3PaPb2Se6 at its relaxed geometry (PBE, the Alexandria database).

Results
E: -4.51 eV per atom
Total magnetic moment: 0.0000 μB per atom
Formation energy (no corrections): -1144 meV per atom

abc: 7.7476 13.3787 8.6445
angles: 90.00 107.21 90.00
With the nearest neighbours (Å) after each atom.
Space group C2/m (No. 12)
Unique sites:
Cs  0.0000  0.0000  0.0000 [2 per cell]  6 Se 3.57-3.80
Cs  0.0000  0.3241  0.0000 [4 per cell]  6 Se 3.57-3.73
Pa  0.0000  0.5000  0.5000 [2 per cell]  6 Se 2.81-2.82
Pb  0.0000  0.1655  0.5000 [4 per cell]  6 Se 3.12-3.13
Se  0.2142  0.3484  0.6886 [8 per cell]  1 Pa 2.81, 2 Pb 3.12-3.13
Se  0.2375  0.5000  0.3075 [4 per cell]  1 Pa 2.82, 2 Pb 3.13


No. 4
# Cs8BiH2

Crystalline Cs8BiH2 at its relaxed geometry (PBE, the Alexandria database).

Results
E: -1.64 eV per atom
Total magnetic moment: 0.0382 μB per atom

abc: 8.8710 8.8710 8.8322
angles: 90.00 90.00 90.00
With the nearest neighbours (Å) after each atom.
Space group P4/mmm (No. 123)
Unique sites:
Cs  0.2467  0.2467  0.2357 [8 per cell]  2 H 3.76, 1 Bi 3.88, 1 Cs 4.16
Bi  0.0000  0.0000  0.5000 [1 per cell]  8 Cs 3.88
H  0.0000  0.5000  0.0000 [2 per cell]  8 Cs 3.76


No. 5
# RbMg6Hg4

Crystalline RbMg6Hg4 at its relaxed geometry (PBE, the Alexandria database).

Results
E: -1.25 eV per atom
Energy relative to the elements: -2.0 eV/f.u.
Total magnetic moment: 0.0000 μB per atom

abc: 8.2645 8.2645 4.6661
angles: 90.00 90.00 120.00
With the nearest neighbours (Å) after each atom.
Space group P-6m2 (No. 187)
Unique sites:
Rb  0.0000  0.0000  0.0000 [1 per cell]  6 Hg 3.70, 6 Mg 3.78
Mg  0.2076  0.4151  0.5000 [3 per cell]  4 Hg 2.92-2.95, 2 Mg 3.12
Mg  0.5348  0.0695  0.0000 [3 per cell]  5 Hg 2.88-3.01
Hg  0.3333  0.6667  0.0000 [1 per cell]  9 Mg 2.88-2.95
Hg  0.4007  0.2003  0.5000 [3 per cell]  6 Mg 2.92-3.01


No. 6
# LiTc3

Crystalline LiTc3 at its relaxed geometry (PBE, the Alexandria database).

Results
E: -7.99 eV per atom
Energy above the lowest structure with this stoichiometry: 113 meV per atom
Energy relative to the elements: 1.0 eV/f.u.
Total magnetic moment: 0.0000 μB per atom

abc: 4.3091 4.3091 11.9305
angles: 90.00 90.00 90.00
With the nearest neighbours (Å) after each atom.
Space group I4/mmm (No. 139)
Unique sites:
Li  0.0000  0.0000  0.1238 [4 per cell]  8 Tc 2.61-2.63
Tc  0.0000  0.0000  0.3711 [4 per cell]  8 Tc 2.59-2.65
Tc  0.0000  0.5000  0.0000 [4 per cell]  4 Li 2.61, 4 Tc 2.65
Tc  0.0000  0.5000  0.2500 [4 per cell]  4 Tc 2.59, 4 Li 2.63


No. 7
# CeYO

Crystalline CeYO at its relaxed geometry (PBE, the Alexandria database).

Results
E: -7.52 eV per atom
Energy above the lowest structure with this stoichiometry: 0 meV per atom
Total magnetic moment: 0.3818 μB per atom
Formation energy (no corrections): -1731 meV per atom

abc: 7.0368 6.5841 6.6797
angles: 90.00 110.91 90.00
With the nearest neighbours (Å) after each atom.
Space group P2_1/c (No. 14)
Unique sites:
Ce  0.1168  0.1655  0.3572 [4 per cell]  1 O 2.28
Y  0.3970  0.6710  0.6247 [4 per cell]  3 O 2.22-2.43
O  0.3874  0.1644  0.0895 [4 per cell]  3 Y 2.22-2.43, 1 Ce 2.28


No. 8
# SrCe2TmS4

Crystalline SrCe2TmS4 at its relaxed geometry (PBE, the Alexandria database).

Results
E: -6.29 eV per atom
Total magnetic moment: 0.2823 μB per atom
Formation energy (no corrections): -1974 meV per atom

abc: 6.9888 4.0077 7.0537
angles: 90.00 108.98 90.00
With the nearest neighbours (Å) after each atom.
Space group P2/m (No. 10)
Unique sites:
Sr  0.0000  0.0000  0.0000 [1 per cell]  6 S 2.89
Ce  0.0000  0.5000  0.5000 [1 per cell]  6 S 2.94
Ce  0.5000  0.0000  0.5000 [1 per cell]  6 S 2.83
Tm  0.5000  0.5000  0.0000 [1 per cell]  6 S 2.77-2.78
S  0.2629  0.5000  0.2480 [2 per cell]  1 Tm 2.77, 3 Ce 2.83-2.94, 2 Sr 2.89
S  0.2659  0.0000  0.7613 [2 per cell]  2 Tm 2.78, 3 Ce 2.83-2.94, 1 Sr 2.89